Entry 1:
Compound: RbFe2Ag2
Source: the Alexandria database
Functional: PBE
Structure: optimized geometry

As for the energy above the most stable polymorph in this dataset: 46 meV/atom. For the formation energy, the calculation gives 3.308 eV per formula unit. The magnetic moment is 1.17 μB per atom. For the calculated total energy, the calculation gives -4.0575 eV/atom.

The space group is P4/mbm (No. 127) and the conventional cell measures 8.498, 8.498 and 2.817 Å, with angles of 90.00, 90.00 and 90.00 degrees. Symmetry generates all atoms from Rb at (0.000, 0.000, 0.000), Fe at (0.097, 0.403, 0.500) and Ag at (0.184, 0.684, 0.000).

=====

Entry 2:
Compound: Nd2SbAu
Source: the Alexandria database
Functional: PBE
Structure: optimized geometry

The magnetic moment is 0.00 μB per atom. For the calculated total energy, the calculation gives -5.1445 eV/atom. For the uncorrected formation energy, the calculation gives -3.6 eV/f.u.

The space group is Cmcm (No. 63) and the conventional cell measures 4.229, 24.353 and 4.652 Å, with angles of 90.00, 90.00 and 90.00 degrees. Symmetry generates all atoms from Nd at (0.000, 0.061, 0.250), Nd at (0.000, 0.318, 0.250), Sb at (0.000, 0.188, 0.250) and Au at (0.000, 0.459, 0.250).

=====

Entry 3:
Compound: Er2Tm4ThSc
Source: the Alexandria database
Functional: PBE
Structure: optimized geometry

For the formation energy, the calculation gives 0.351 eV per formula unit. The magnetic moment is 0.00 μB per atom. For the calculated total energy, the calculation gives -5.0515 eV/atom.

The space group is Pmmm (No. 47) and the conventional cell measures 4.910, 4.930 and 9.845 Å, with angles of 90.00, 90.00 and 90.00 degrees. Symmetry generates all atoms from Er at (0.000, 0.000, 0.000), Er at (0.500, 0.500, 0.500), Tm at (0.000, 0.500, 0.247), Tm at (0.500, 0.000, 0.246), Th at (0.000, 0.000, 0.500) and Sc at (0.500, 0.500, 0.000).

=====

Entry 4:
Compound: Na2LaTi
Source: the Alexandria database
Functional: PBE
Structure: optimized geometry

As for the energy above the most stable polymorph in this dataset: 49 meV/atom. For the formation energy, the calculation gives 2.809 eV per formula unit. The magnetic moment is 0.71 μB per atom. For the calculated total energy, the calculation gives -3.1628 eV/atom.

The space group is Fm-3m (No. 225) and the conventional cell measures 7.798, 7.798 and 7.798 Å, with angles of 90.00, 90.00 and 90.00 degrees. Symmetry generates all atoms from Na at (0.250, 0.250, 0.250), La at (0.000, 0.000, 0.000) and Ti at (0.000, 0.000, 0.500).

=====

Entry 5:
Compound: TbCe2Be
Source: the Alexandria database
Functional: PBE
Structure: optimized geometry

For the formation energy, the calculation gives 2.894 eV per formula unit. The magnetic moment is 0.09 μB per atom. For the calculated total energy, the calculation gives -4.3325 eV/atom.

The space group is R-3m (No. 166, hexagonal axes) and the conventional cell measures 3.1536, 3.1536 and 35.4324 Å, with angles of 90.00, 90.00 and 120.00 degrees. Symmetry generates all atoms from Tb at (0.0000, 0.0000, 0.0000), Ce at (0.0000, 0.0000, 0.4181) and Be at (0.0000, 0.0000, 0.5000).

=====

Entry 6:
Compound: NaIr3F
Source: the Alexandria database
Functional: PBE
Structure: optimized geometry

As for the energy above the most stable polymorph in this dataset: 0 meV/atom. The magnetic moment is 0.00 μB per atom. For the calculated total energy, the calculation gives -4.6481 eV/atom. For the uncorrected formation energy, the calculation gives 6.5 eV/f.u.

The space group is Pm-3m (No. 221) and the conventional cell measures 4.337, 4.337 and 4.337 Å, with angles of 90.00, 90.00 and 90.00 degrees. Symmetry generates all atoms from Na at (0.000, 0.000, 0.000), Ir at (0.000, 0.500, 0.500) and F at (0.500, 0.500, 0.500).

=====

Entry 7:
Compound: La2Pr3Tm2
Source: the Alexandria database
Functional: PBE
Structure: optimized geometry

As for the energy above the most stable polymorph in this dataset: 99 meV/atom. For the formation energy, the calculation gives 0.842 eV per formula unit. The magnetic moment is 0.00 μB per atom. For the calculated total energy, the calculation gives -4.6135 eV/atom.

The space group is C2/m (No. 12) and the conventional cell measures 17.996, 3.572 and 8.703 Å, with angles of 90.00, 118.92 and 90.00 degrees. Symmetry generates all atoms from La at (0.064, 0.000, 0.414), Pr at (0.000, 0.500, 0.000), Pr at (0.213, 0.500, 0.293) and Tm at (0.150, 0.500, 0.838).

=====

Entry 8:
Compound: La8SnBi5
Source: the Alexandria database
Functional: PBE
Structure: optimized geometry

For the formation energy, the calculation gives -12.652 eV per formula unit. The magnetic moment is 0.00 μB per atom. For the calculated total energy, the calculation gives -5.3913 eV/atom.

The space group is I-4 (No. 82) and the conventional cell measures 9.867, 9.867 and 9.882 Å, with angles of 90.00, 90.00 and 90.00 degrees. Symmetry generates all atoms from La at (0.070, 0.177, 0.300), La at (0.071, 0.317, 0.947), Sn at (0.000, 0.000, 0.000), Bi at (0.000, 0.500, 0.250) and Bi at (0.124, 0.251, 0.623).